<a>
A plane-wave DFT calculation with PBE was carried out for an optimized crystal structure of CaScBr.

Cell lengths 3.6341, 3.6343, 14.3075 Å; angles 90.00, 90.00, 120.00 degrees
Each line ends with the local moment (μB).
Positions (direct):
1 Sc 0.6111 0.2222 0.3036  0.23
2 Sc 0.6111 0.2222 0.6964  0.23
3 Br 0.2778 0.5557 0.1617  0.01
4 Br 0.2778 0.5557 0.8383  0.01
5 Ca 0.6109 0.2219 0.0000  0.20
6 Ca 0.2778 0.5557 0.5000  0.08



<b>
A plane-wave DFT calculation with PBE was carried out for an optimized crystal structure of CaScBr.

Cell lengths 7.8166, 7.4733, 3.5677 Å; angles 81.94, 71.20, 26.87 degrees
Positions (direct):
1 Br 0.0063 0.0063 0.9937
2 Sc 0.6551 0.6551 0.3449
3 Ca 0.3386 0.3386 0.6614



Which one is most stable, and which one is least stable? <a> is the most stable of them, while <b> is the least stable.



<a>
A plane-wave DFT calculation with PBE was carried out for an optimized crystal structure of CaScBr.

Cell lengths 4.9440, 4.9440, 4.9440 Å; angles 60.00, 60.00, 60.00 degrees
Each line ends with the local moment (μB).
Positions (direct):
1 Ca 0.0000 0.0000 0.0000  0.20
2 Br 0.2500 0.2500 0.2500  0.01
3 Sc 0.5000 0.5000 0.5000  0.98



<b>
A plane-wave DFT calculation with PBE was carried out for an optimized crystal structure of CaScBr.

Cell lengths 7.0953, 7.0953, 7.0953 Å; angles 151.41, 151.41, 40.87 degrees
Positions (direct):
1 Br 0.0095 0.0095 0.0000
2 Sc 0.6530 0.6530 0.0000
3 Ca 0.3375 0.3375 0.0000



Which one is most stable, and which one is least stable? <b> is the most stable of them, while <a> is the least stable.



<a>
A plane-wave DFT calculation with PBE was carried out for an optimized crystal structure of CaScBr4.

Cell lengths 6.3921, 6.3921, 6.3921 Å; angles 60.00, 60.00, 60.00 degrees
Each line ends with the local moment (μB).
Positions (direct):
1 Br 0.8759 0.3747 0.3747  -0.15
2 Br 0.3747 0.8759 0.3747  -0.15
3 Br 0.3747 0.3747 0.8759  -0.15
4 Br 0.3747 0.3747 0.3747  -0.15
5 Ca 0.7500 0.7500 0.7500  0.08
6 Sc 0.0000 0.0000 0.0000  0.96



<b>
A plane-wave DFT calculation with PBE was carried out for an optimized crystal structure of CaScBr4.

Cell lengths 4.0183, 7.1063, 7.4603 Å; angles 109.02, 90.00, 90.00 degrees
Each line ends with the local moment (μB).
Positions (direct):
1 Br 0.5000 0.7325 0.7250  0.00
2 Br 0.0000 0.2619 0.7299  0.00
3 Br 0.0000 0.7381 0.2701  0.00
4 Br 0.5000 0.2675 0.2750  0.00
5 Sc 0.0000 0.5000 0.5000  0.68
6 Ca 0.5000 0.0000 0.5000  0.03



Which one is most stable, and which one is least stable? <b> is the most stable of them, while <a> is the least stable.



<a>
A plane-wave DFT calculation with PBE was carried out for an optimized crystal structure of CaSiSe2Br.

Cell lengths 4.9818, 4.9818, 5.0809 Å; angles 90.00, 90.00, 90.00 degrees
Positions (direct):
1 Br 0.0000 0.0000 0.5000
2 Ca 0.5000 0.5000 0.5000
3 Se 0.0000 0.5000 0.0000
4 Se 0.5000 0.0000 0.0000
5 Si 0.0000 0.0000 0.0000



<b>
A plane-wave DFT calculation with PBE was carried out for an optimized crystal structure of CaSiSe2Br.

Cell lengths 5.4813, 5.4813, 5.3686 Å; angles 90.00, 90.00, 90.00 degrees
Positions (direct):
1 Se 0.0000 0.5000 0.0000
2 Se 0.5000 0.0000 0.0000
3 Ca 0.0000 0.0000 0.0000
4 Br 0.0000 0.0000 0.5000
5 Si 0.5000 0.5000 0.5000



Which one is most stable, and which one is least stable? <a> is the most stable of them, while <b> is the least stable.



<a>
A plane-wave DFT calculation with PBE was carried out for an optimized crystal structure of CaSnSe2Br.

Cell lengths 5.3733, 5.3733, 5.4234 Å; angles 90.00, 90.00, 90.00 degrees
Positions (direct):
1 Se 0.0000 0.5000 0.0000
2 Se 0.5000 0.0000 0.0000
3 Ca 0.5000 0.5000 0.5000
4 Sn 0.0000 0.0000 0.0000
5 Br 0.0000 0.0000 0.5000



<b>
A plane-wave DFT calculation with PBE was carried out for an optimized crystal structure of CaSnSe2Br.

Cell lengths 5.4697, 5.4697, 5.4309 Å; angles 90.00, 90.00, 90.00 degrees
Positions (direct):
1 Br 0.0000 0.0000 0.5000
2 Sn 0.5000 0.5000 0.5000
3 Ca 0.0000 0.0000 0.0000
4 Se 0.5000 0.0000 0.0000
5 Se 0.0000 0.5000 0.0000



Which one is most stable, and which one is least stable? <a> is the most stable of them, while <b> is the least stable.



<a>
A plane-wave DFT calculation with PBE was carried out for an optimized crystal structure of SrCaSeBr2.

Cell lengths 5.4376, 5.4376, 5.7225 Å; angles 90.00, 90.00, 90.00 degrees
Positions (direct):
1 Sr 0.5000 0.5000 0.5000
2 Br 0.0000 0.5000 0.0000
3 Br 0.5000 0.0000 0.0000
4 Ca 0.0000 0.0000 0.0000
5 Se 0.0000 0.0000 0.5000



<b>
A plane-wave DFT calculation with PBE was carried out for an optimized crystal structure of SrCaSeBr2.

Cell lengths 5.6594, 5.6594, 6.0032 Å; angles 90.00, 90.00, 90.00 degrees
Positions (direct):
1 Se 0.0000 0.0000 0.5000
2 Br 0.5000 0.0000 0.0000
3 Br 0.0000 0.5000 0.0000
4 Ca 0.5000 0.5000 0.5000
5 Sr 0.0000 0.0000 0.0000



<c>
A plane-wave DFT calculation with PBE was carried out for an optimized crystal structure of SrCaSeBr2.

Cell lengths 5.8463, 5.8102, 5.8463 Å; angles 90.00, 90.00, 90.00 degrees
Positions (direct):
1 Sr 0.0000 0.5000 0.0000
2 Ca 0.5000 0.5000 0.5000
3 Br 0.0000 0.0000 0.5000
4 Br 0.5000 0.0000 0.0000
5 Se 0.0000 0.0000 0.0000



Which one is most stable, and which one is least stable? <a> is the most stable of them, while <c> is the least stable.